MnAlVTc: relaxed, PBE.

Computed properties:
- calculated total energy (eV per formula unit) = -33.7
- total magnetization (μB/atom) = 0.494
- V (A^3/atom) = 13.42

Lattice parameters (Å, degrees): 4.2344 4.2344 4.2344 60.00 60.00 60.00
With the nearest neighbours (Å) after each atom.
Sites, in units of the cell vectors:
Mn 0.0000 0.0000 0.0000  4 Al 2.59, 4 V 2.59
Al 0.7500 0.7500 0.7500  4 Mn 2.59, 4 Tc 2.59
V 0.2500 0.2500 0.2500  4 Mn 2.59, 4 Tc 2.59
Tc 0.5000 0.5000 0.5000  4 Al 2.59, 4 V 2.59

Pr11Tl9Ni4: relaxed, PBE.

Computed properties:
- calculated total energy (eV per formula unit) = -106.1
- total magnetization (μB/atom) = 0.000
- V (A^3/atom) = 27.26

Lattice parameters (Å, degrees): 13.6121 13.6121 3.8240 90.00 90.00 112.60
With the nearest neighbours (Å) after each atom.
Sites, in units of the cell vectors:
Pr 0.0000 0.0000 0.0000  8 Tl 3.35, 2 Pr 3.68
Pr 0.0837 0.4179 0.0000  2 Ni 2.85
Pr 0.1625 0.8375 0.0000  8 Tl 3.37-3.59, 1 Pr 3.68
Pr 0.3129 0.3129 0.0000  4 Ni 3.02
Pr 0.3744 0.6256 0.0000  4 Ni 3.03
Pr 0.4179 0.0837 0.0000  2 Ni 2.85
Pr 0.5821 0.9163 0.0000  2 Ni 2.85
Pr 0.6256 0.3744 0.0000  4 Ni 3.03
Pr 0.6871 0.6871 0.0000  4 Ni 3.02
Pr 0.8375 0.1625 0.0000  8 Tl 3.37-3.59, 1 Pr 3.68
Pr 0.9163 0.5821 0.0000  2 Ni 2.85
Tl 0.0765 0.2189 0.5000  1 Ni 3.11, 1 Tl 3.23, 4 Pr 3.29-3.35
Tl 0.1576 0.6316 0.5000  1 Ni 3.17, 1 Tl 3.18, 6 Pr 3.30-3.54
Tl 0.2189 0.0765 0.5000  1 Ni 3.11, 1 Tl 3.23, 4 Pr 3.29-3.35
Tl 0.3684 0.8424 0.5000  1 Ni 3.17, 1 Tl 3.18, 6 Pr 3.30-3.54
Tl 0.5000 0.5000 0.5000  4 Ni 3.22, 8 Pr 3.41-3.43
Tl 0.6316 0.1576 0.5000  1 Ni 3.17, 1 Tl 3.18, 6 Pr 3.30-3.54
Tl 0.7811 0.9235 0.5000  1 Ni 3.11, 1 Tl 3.23, 4 Pr 3.29-3.35
Tl 0.8424 0.3684 0.5000  1 Ni 3.17, 1 Tl 3.18, 6 Pr 3.30-3.54
Tl 0.9235 0.7811 0.5000  1 Ni 3.11, 1 Tl 3.23, 4 Pr 3.29-3.35
Ni 0.2487 0.4492 0.5000  6 Pr 2.85-3.03, 2 Tl 3.11-3.17
Ni 0.4492 0.2487 0.5000  6 Pr 2.85-3.03, 2 Tl 3.11-3.17
Ni 0.5508 0.7513 0.5000  6 Pr 2.85-3.03, 2 Tl 3.11-3.17
Ni 0.7513 0.5508 0.5000  6 Pr 2.85-3.03, 2 Tl 3.11-3.17

NaThGaCl6: relaxed, PBE.

Computed properties:
- total magnetization (μB/atom) = 0.000
- formation energy from raw total energies (meV/atom) = -1774
- V (A^3/atom) = 32.63

Lattice parameters (Å, degrees): 6.7334 6.7334 12.9548 90.00 90.00 90.00
With the nearest neighbours (Å) after each atom.
Sites, in units of the cell vectors:
Na 0.0000 0.0000 0.0000  6 Cl 2.89-2.90
Na 0.5000 0.5000 0.5000  6 Cl 2.89-2.90
Th 0.0000 0.0000 0.6656  6 Cl 2.70
Th 0.5000 0.5000 0.1656  6 Cl 2.70
Ga 0.0000 0.0000 0.3312  6 Cl 2.99-3.05
Ga 0.5000 0.5000 0.8312  6 Cl 2.99-3.05
Cl 0.1858 0.1858 0.8233  1 Th 2.70, 1 Na 2.89, 1 Ga 2.99
Cl 0.1957 0.1957 0.5150  1 Th 2.70, 1 Na 2.90
Cl 0.2161 0.2161 0.1580  1 Th 2.70, 1 Na 2.90
Cl 0.2839 0.7161 0.6580  1 Th 2.70, 1 Na 2.90
Cl 0.3043 0.6957 0.0150  1 Th 2.70, 1 Na 2.90
Cl 0.3142 0.6858 0.3233  1 Th 2.70, 1 Na 2.89, 1 Ga 2.99
Cl 0.6858 0.3142 0.3233  1 Th 2.70, 1 Na 2.89, 1 Ga 2.99
Cl 0.6957 0.3043 0.0150  1 Th 2.70, 1 Na 2.90
Cl 0.7161 0.2839 0.6580  1 Th 2.70, 1 Na 2.90
Cl 0.7839 0.7839 0.1580  1 Th 2.70, 1 Na 2.90
Cl 0.8043 0.8043 0.5150  1 Th 2.70, 1 Na 2.90
Cl 0.8142 0.8142 0.8233  1 Th 2.70, 1 Na 2.89, 1 Ga 2.99

MnSnPS: relaxed, PBE.

Computed properties:
- energy above the lowest structure with this stoichiometry (meV/atom) = 0
- total magnetization (μB/atom) = 0.679
- formation energy from raw total energies (meV/atom) = -257
- V (A^3/atom) = 20.18

Lattice parameters (Å, degrees): 3.3364 3.3364 8.5808 100.94 100.94 60.01
With the nearest neighbours (Å) after each atom.
Sites, in units of the cell vectors:
Mn 0.0000 0.0000 0.0000  3 S 2.34, 3 P 2.35
Sn 0.4910 0.4910 0.4827  1 P 2.70, 1 S 3.01
P 0.3856 0.3856 0.1602  3 Mn 2.35
S 0.6151 0.6151 0.8421  3 Mn 2.34

> Which of these has the highest V?

NaThGaCl6